DFT (PBE) results for an optimized crystal structure of NbRh.

The space group is P4/mmm (No. 123) and the conventional cell measures 2.8673, 2.8673 and 3.8915 Å, with angles of 90.00, 90.00 and 90.00 degrees. Symmetry generates all atoms from Nb at (0.0000, 0.0000, 0.0000) and Rh at (0.5000, 0.5000, 0.5000).

The value obtained for the energy of formation is -0.421 eV per atom. The total energy is -18.26 eV/cell.